VASP calculation (GGA-PBE) on a geometry-optimized YMg2W structure.

Results
For the density of states at the Fermi level, the calculation gives 2.95 states/eV per cell. The crystal system is tetragonal. The formation energy comes out at 154.2 kJ/mol of formula units.

abc: 2.932 2.932 9.821
angles: 90.00 90.00 89.99
Each line ends with the local moment (μB).
Positions (direct):
Mg: 0.000 0.000 0.468  0.00
Y: 0.500 0.500 0.750  -0.08
Mg: 0.000 0.000 0.032  0.00
W: 0.500 0.500 0.250  0.00

VASP calculation (GGA-PBE) on a geometry-optimized NdEuRh2 structure.

Results
For the density of states at the Fermi level, the calculation gives 12.12 states/eV per cell. The crystal system is tetragonal. The formation energy comes out at -194.5 kJ/mol of formula units.

abc: 3.538 3.538 7.046
angles: 90.00 90.00 90.00
Each line ends with the local moment (μB).
Positions (direct):
Eu: 0.500 0.500 0.500  6.74
Nd: 0.500 0.500 0.000  0.01
Rh: 0.000 0.000 0.762  -0.07
Rh: 0.000 0.000 0.238  -0.07

VASP calculation (GGA-PBE) on a geometry-optimized CaGa4Ag2 structure.

Results
For the density of states at the Fermi level, the calculation gives 2.84 states/eV per cell. The crystal system is monoclinic. The formation energy comes out at -131.5 kJ/mol of formula units.

abc: 5.364 5.718 5.723
angles: 72.22 63.20 63.20
Positions (direct):
Ag: 0.818 0.434 0.434
Ga: 0.346 0.989 0.380
Ag: 0.182 0.566 0.566
Ca: 0.000 0.000 0.000
Ga: 0.654 0.011 0.620
Ga: 0.346 0.380 0.988
Ga: 0.654 0.620 0.012

VASP calculation (GGA-PBE) on a geometry-optimized Y2ScAg3S6 structure.

Results
For the density of states at the Fermi level, the calculation gives 0.00 states/eV per cell. The crystal system is monoclinic. For the uncorrected formation energy, the calculation gives -1456 kJ/mol of formula units.

abc: 3.960 9.465 7.979
angles: 106.47 104.37 90.00
Positions (direct):
Ag: 0.156 0.742 0.313
S: 0.342 0.473 0.684
S: 0.658 0.527 0.316
Y: 0.841 0.684 0.682
Ag: 0.500 0.500 0.000
S: 0.019 0.827 0.038
S: 0.327 0.868 0.654
Ag: 0.844 0.258 0.687
Sc: 0.500 0.000 0.000
S: 0.673 0.132 0.346
Y: 0.159 0.316 0.318
S: 0.981 0.173 0.962

Please write out number 2 again, unchanged.
VASP calculation (GGA-PBE) on a geometry-optimized NdEuRh2 structure.

Results
For the density of states at the Fermi level, the calculation gives 12.12 states/eV per cell. The crystal system is tetragonal. The formation energy comes out at -194.5 kJ/mol of formula units.

abc: 3.538 3.538 7.046
angles: 90.00 90.00 90.00
Each line ends with the local moment (μB).
Positions (direct):
Eu: 0.500 0.500 0.500  6.74
Nd: 0.500 0.500 0.000  0.01
Rh: 0.000 0.000 0.762  -0.07
Rh: 0.000 0.000 0.238  -0.07